# 1
# NbPd2Pt2Rh

A relaxed structure of NbPd2Pt2Rh (PBE, the Alexandria database).

extended XYZ file:
```
12
Lattice="5.2851 0.0000 0.0000 0.0000 5.4416 0.0000 -1.0551 0.0000 6.6994" Properties=species:S:1:pos:R:3 pbc="T T T"
Nb 0.9092 1.3604 1.0482
Nb 3.3207 4.0812 5.6512
Pd 0.8288 0.0125 5.5050
Pd 0.8288 2.7083 5.5050
Pd 3.4011 2.7333 1.1944
Pd 3.4011 5.4291 1.1944
Pt -0.5126 4.0812 3.4131
Pt 2.1052 1.3604 3.4013
Pt 2.1247 4.0812 3.2981
Pt 4.7425 1.3604 3.2863
Rh 0.7255 4.0812 0.8791
Rh 3.5044 1.3604 5.8203
```

**Crystal system**: monoclinic
**Size of the total moment**: 0.0 μB/f.u.
**Formation enthalpy at 0 K**: -215.7 meV/atom


# 2
# ErBeNi

A relaxed structure of ErBeNi (PBE, the Alexandria database).

extended XYZ file:
```
3
Lattice="3.8914 0.0000 0.0000 -1.9457 3.3701 0.0000 0.0000 0.0000 3.6872" Properties=species:S:1:pos:R:3 pbc="T T T"
Er 0.0000 0.0000 0.0000
Be 0.0000 2.2467 1.8436
Ni 1.9457 1.1233 1.8436
```

**Crystal system**: hexagonal
**Size of the total moment**: 0.0 μB/f.u.
**Polymorph energy (0 for the lowest one)**: 0.000 eV per atom
**Formation enthalpy at 0 K**: -298.7 meV/atom


# 3
# Sm2Cd2Ag15

A relaxed structure of Sm2Cd2Ag15 (PBE, the Alexandria database).

extended XYZ file:
```
19
Lattice="4.8377 2.7931 4.7674 -4.8377 2.7931 4.7674 0.0000 -5.5861 4.7674" Properties=species:S:1:pos:R:3 pbc="T T T"
Sm 0.0000 0.0000 2.1281
Sm 0.0000 0.0000 12.1740
Cd 0.0000 0.0000 5.6563
Cd 0.0000 0.0000 8.6458
Ag -2.4189 -1.3965 4.7674
Ag 0.0000 -2.8526 4.5568
Ag -2.4704 1.4263 4.5568
Ag -1.4818 -2.5666 7.1511
Ag -2.9636 0.0000 7.1511
Ag -2.4704 -1.4263 9.7453
Ag -2.4189 1.3965 9.5348
Ag 1.4818 -2.5666 7.1511
Ag 0.0000 2.7931 4.7674
Ag -1.4818 2.5666 7.1511
Ag 2.4704 1.4263 4.5568
Ag 2.9636 0.0000 7.1511
Ag 1.4818 2.5666 7.1511
Ag 2.4704 -1.4263 9.7453
Ag 0.0000 2.8526 9.7453
```

**Crystal system**: trigonal
**Size of the total moment**: 0.0 μB/f.u.
**Formation enthalpy at 0 K**: -80.1 meV/atom


# 4
# CaNdSmEu

A relaxed structure of CaNdSmEu (PBE, the Alexandria database).

extended XYZ file:
```
4
Lattice="0.0000 4.2138 4.2138 4.2138 0.0000 4.2138 4.2138 4.2138 0.0000" Properties=species:S:1:pos:R:3 pbc="T T T"
Ca 0.0000 0.0000 0.0000
Nd 2.1069 2.1069 2.1069
Sm 4.2138 4.2138 4.2138
Eu 6.3207 6.3207 6.3207
```

**Crystal system**: cubic
**Size of the total moment**: 7.2 μB/f.u.
**Formation enthalpy at 0 K**: 122.3 meV/atom